No. 1
Computed, not measured: ZrSi2Ag after structural relaxation at the GGA-PBE level of DFT.

Calculated values
The uncorrected formation energy is 3 meV/atom. The calculation puts the calculated total energy at -5.56 eV/atom.

```
data_ZrSi2Ag
_cell_length_a 9.578
_cell_length_b 2.898
_cell_length_c 5.643
_cell_angle_alpha 90.00
_cell_angle_beta 110.07
_cell_angle_gamma 90.00
_symmetry_space_group_name_H-M 'C 1 2/m 1'
_symmetry_Int_Tables_number 12
loop_
_symmetry_equiv_pos_as_xyz
'x,y,z'
'-x,-y,-z'
'-x,y,-z'
'x,-y,z'
'x+1/2,y+1/2,z'
'-x+1/2,-y+1/2,-z'
'-x+1/2,y+1/2,-z'
'x+1/2,-y+1/2,z'
loop_
_atom_site_label
_atom_site_type_symbol
_atom_site_fract_x
_atom_site_fract_y
_atom_site_fract_z
Zr1 Zr 0.000 0.000 0.000
Si1 Si 0.235 0.000 0.802
Ag1 Ag 0.000 0.500 0.500
```

=====

No. 2
Computed, not measured: GdDy2Si after structural relaxation at the GGA-PBE level of DFT.

Calculated values
The uncorrected formation energy is -6 meV/atom. The energy above the most stable polymorph in this dataset is 262 meV per atom. The calculation puts the calculated total energy at -7.18 eV/atom.

```
data_GdDy2Si
_cell_length_a 3.5830
_cell_length_b 3.5830
_cell_length_c 32.0571
_cell_angle_alpha 90.00
_cell_angle_beta 90.00
_cell_angle_gamma 120.00
_symmetry_space_group_name_H-M 'R -3 m'
_symmetry_Int_Tables_number 166
_symmetry_space_group_name_Hall '-R 3 2"'
loop_
_atom_site_label
_atom_site_type_symbol
_atom_site_fract_x
_atom_site_fract_y
_atom_site_fract_z
Gd1 Gd 0.0000 0.0000 0.0000
Dy1 Dy 0.0000 0.0000 0.1062
Si1 Si 0.0000 0.0000 0.5000
```

=====

No. 3
Computed, not measured: La6CePm2Sc after structural relaxation at the GGA-PBE level of DFT.

Calculated values
As for the energy of formation: 0.20 eV/atom. The calculation puts the calculated total energy at -4.93 eV/atom.

```
data_La6CePm2Sc
_cell_length_a 11.641
_cell_length_b 7.113
_cell_length_c 8.872
_cell_angle_alpha 90.00
_cell_angle_beta 107.27
_cell_angle_gamma 90.00
_symmetry_space_group_name_H-M 'C 1 2/m 1'
_symmetry_Int_Tables_number 12
loop_
_symmetry_equiv_pos_as_xyz
'x,y,z'
'-x,-y,-z'
'-x,y,-z'
'x,-y,z'
'x+1/2,y+1/2,z'
'-x+1/2,-y+1/2,-z'
'-x+1/2,y+1/2,-z'
'x+1/2,-y+1/2,z'
loop_
_atom_site_label
_atom_site_type_symbol
_atom_site_fract_x
_atom_site_fract_y
_atom_site_fract_z
La1 La 0.127 0.000 0.409
La2 La 0.169 0.264 0.787
Ce1 Ce 0.000 0.000 0.000
Pm1 Pm 0.095 0.500 0.180
Sc1 Sc 0.000 0.500 0.500
```

=====

No. 4
Computed, not measured: SiPSeS2 after structural relaxation at the GGA-PBE level of DFT.

Calculated values
The uncorrected formation energy is 1020 meV/atom. The energy above the most stable polymorph in this dataset is 431 meV per atom. The calculation puts the calculated total energy at -3.49 eV/atom.

```
data_SiPSeS2
_cell_length_a 4.752
_cell_length_b 4.752
_cell_length_c 4.782
_cell_angle_alpha 90.00
_cell_angle_beta 90.00
_cell_angle_gamma 90.00
_symmetry_space_group_name_H-M 'P 4/m m m'
_symmetry_Int_Tables_number 123
_symmetry_space_group_name_Hall '-P 4 2'
loop_
_atom_site_label
_atom_site_type_symbol
_atom_site_fract_x
_atom_site_fract_y
_atom_site_fract_z
Si1 Si 0.000 0.000 0.000
P1 P 0.500 0.500 0.000
Se1 Se 0.500 0.500 0.500
S1 S 0.000 0.500 0.500
```

=====

No. 5
Computed, not measured: TcHg3Se2F6 after structural relaxation at the GGA-PBE level of DFT.

Calculated values
The uncorrected formation energy is -1425 meV/atom. The calculation puts the calculated total energy at -3.88 eV/atom.

```
data_TcHg3Se2F6
_cell_length_a 13.776
_cell_length_b 7.149
_cell_length_c 5.202
_cell_angle_alpha 90.00
_cell_angle_beta 106.37
_cell_angle_gamma 90.00
_symmetry_space_group_name_H-M 'C 1 2/m 1'
_symmetry_Int_Tables_number 12
loop_
_symmetry_equiv_pos_as_xyz
'x,y,z'
'-x,-y,-z'
'-x,y,-z'
'x,-y,z'
'x+1/2,y+1/2,z'
'-x+1/2,-y+1/2,-z'
'-x+1/2,y+1/2,-z'
'x+1/2,-y+1/2,z'
loop_
_atom_site_label
_atom_site_type_symbol
_atom_site_fract_x
_atom_site_fract_y
_atom_site_fract_z
Tc1 Tc 0.000 0.000 0.000
Hg1 Hg 0.000 0.500 0.500
Hg2 Hg 0.250 0.250 0.000
Se1 Se 0.192 0.500 0.643
F1 F 0.081 0.201 0.217
F2 F 0.097 0.000 0.785
```

=====

No. 6
Computed, not measured: Tm3Ag2Hg2 after structural relaxation at the GGA-PBE level of DFT.

Calculated values
As for the energy of formation: -0.34 eV/atom. The calculation puts the calculated total energy at -3.15 eV/atom.

```
data_Tm3Ag2Hg2
_cell_length_a 4.099
_cell_length_b 22.958
_cell_length_c 3.519
_cell_angle_alpha 90.00
_cell_angle_beta 90.00
_cell_angle_gamma 90.00
_symmetry_space_group_name_H-M 'C m m m'
_symmetry_Int_Tables_number 65
_symmetry_space_group_name_Hall '-C 2 2'
loop_
_atom_site_label
_atom_site_type_symbol
_atom_site_fract_x
_atom_site_fract_y
_atom_site_fract_z
Tm1 Tm 0.000 0.000 0.000
Tm2 Tm 0.000 0.155 0.000
Ag1 Ag 0.000 0.288 0.500
Hg1 Hg 0.000 0.423 0.500
```

=====

No. 7
Computed, not measured: PmTl2I3Br3 after structural relaxation at the GGA-PBE level of DFT.

Calculated values
The uncorrected formation energy is -1026 meV/atom. The calculation puts the calculated total energy at -3.15 eV/atom.

```
data_PmTl2I3Br3
_cell_length_a 9.3406
_cell_length_b 9.3406
_cell_length_c 4.1317
_cell_angle_alpha 90.00
_cell_angle_beta 90.00
_cell_angle_gamma 120.00
_symmetry_space_group_name_H-M 'P -6 2 m'
_symmetry_Int_Tables_number 189
_symmetry_space_group_name_Hall 'P -6 -2'
loop_
_atom_site_label
_atom_site_type_symbol
_atom_site_fract_x
_atom_site_fract_y
_atom_site_fract_z
Pm1 Pm 0.0000 0.0000 0.0000
Tl1 Tl 0.3333 0.6667 0.5000
I1 I 0.0000 0.4082 0.0000
Br1 Br 0.0000 0.7739 0.5000
```

=====

No. 8
Computed, not measured: PmPaIrO6 after structural relaxation at the GGA-PBE level of DFT.

Calculated values
The uncorrected formation energy is -2539 meV/atom. The calculation puts the calculated total energy at -8.41 eV/atom.

```
data_PmPaIrO6
_cell_length_a 5.4353
_cell_length_b 5.4353
_cell_length_c 10.3662
_cell_angle_alpha 90.00
_cell_angle_beta 90.00
_cell_angle_gamma 120.00
_symmetry_space_group_name_H-M 'P -3 1 c'
_symmetry_Int_Tables_number 163
_symmetry_space_group_name_Hall '-P 3 2c'
loop_
_atom_site_label
_atom_site_type_symbol
_atom_site_fract_x
_atom_site_fract_y
_atom_site_fract_z
Pm1 Pm 0.0000 0.0000 0.0000
Pa1 Pa 0.3333 0.6667 0.2500
Ir1 Ir 0.3333 0.6667 0.7500
O1 O 0.0233 0.3606 0.6380
```

=====

No. 9
Computed, not measured: Pr3Y2Rh2 after structural relaxation at the GGA-PBE level of DFT.

Calculated values
As for the energy of formation: -0.47 eV/atom. The calculation puts the calculated total energy at -6.47 eV/atom.

```
data_Pr3Y2Rh2
_cell_length_a 12.357
_cell_length_b 3.934
_cell_length_c 9.062
_cell_angle_alpha 90.00
_cell_angle_beta 115.33
_cell_angle_gamma 90.00
_symmetry_space_group_name_H-M 'C 1 2/m 1'
_symmetry_Int_Tables_number 12
loop_
_symmetry_equiv_pos_as_xyz
'x,y,z'
'-x,-y,-z'
'-x,y,-z'
'x,-y,z'
'x+1/2,y+1/2,z'
'-x+1/2,-y+1/2,-z'
'-x+1/2,y+1/2,-z'
'x+1/2,-y+1/2,z'
loop_
_atom_site_label
_atom_site_type_symbol
_atom_site_fract_x
_atom_site_fract_y
_atom_site_fract_z
Pr1 Pr 0.000 0.000 0.000
Pr2 Pr 0.113 0.000 0.427
Y1 Y 0.172 0.500 0.813
Rh1 Rh 0.185 0.500 0.241
```

=====

No. 10
Computed, not measured: Pm2MnNi3Ge4 after structural relaxation at the GGA-PBE level of DFT.

Calculated values
As for the energy of formation: -0.63 eV/atom. The calculation puts the calculated total energy at -6.08 eV/atom.

```
data_Pm2MnNi3Ge4
_cell_length_a 4.123
_cell_length_b 4.123
_cell_length_c 10.016
_cell_angle_alpha 90.00
_cell_angle_beta 90.00
_cell_angle_gamma 90.00
_symmetry_space_group_name_H-M 'P -4 m 2'
_symmetry_Int_Tables_number 115
loop_
_symmetry_equiv_pos_as_xyz
'x,y,z'
'y,-x,-z'
'-x,-y,z'
'-y,x,-z'
'-x,y,z'
'-y,-x,-z'
'x,-y,z'
'y,x,-z'
loop_
_atom_site_label
_atom_site_type_symbol
_atom_site_fract_x
_atom_site_fract_y
_atom_site_fract_z
Pm1 Pm 0.000 0.500 0.244
Mn1 Mn 0.000 0.000 0.500
Ni1 Ni 0.000 0.500 0.877
Ni2 Ni 0.500 0.500 0.500
Ge1 Ge 0.000 0.000 0.000
Ge2 Ge 0.000 0.500 0.637
Ge3 Ge 0.500 0.500 0.000
```

=====

No. 11
Computed, not measured: MgBeMo3 after structural relaxation at the GGA-PBE level of DFT.

Calculated values
The energy above the most stable polymorph in this dataset is 1631 meV per atom. As for the energy of formation: 2.39 eV/atom. The calculation puts the calculated total energy at -5.17 eV/atom.

```
data_MgBeMo3
_cell_length_a 4.546
_cell_length_b 4.546
_cell_length_c 4.546
_cell_angle_alpha 90.00
_cell_angle_beta 90.00
_cell_angle_gamma 90.00
_symmetry_space_group_name_H-M 'P m -3 m'
_symmetry_Int_Tables_number 221
_symmetry_space_group_name_Hall '-P 4 2 3'
loop_
_atom_site_label
_atom_site_type_symbol
_atom_site_fract_x
_atom_site_fract_y
_atom_site_fract_z
Mg1 Mg 0.000 0.000 0.000
Be1 Be 0.500 0.500 0.500
Mo1 Mo 0.000 0.000 0.500
```

=====

No. 12
Computed, not measured: Mg2Pd7Pb2 after structural relaxation at the GGA-PBE level of DFT.

Calculated values
As for the energy of formation: -0.28 eV/atom. The calculation puts the calculated total energy at -4.55 eV/atom.

```
data_Mg2Pd7Pb2
_cell_length_a 10.579
_cell_length_b 8.534
_cell_length_c 4.614
_cell_angle_alpha 90.00
_cell_angle_beta 96.93
_cell_angle_gamma 90.00
_symmetry_space_group_name_H-M 'C 1 2/m 1'
_symmetry_Int_Tables_number 12
loop_
_symmetry_equiv_pos_as_xyz
'x,y,z'
'-x,-y,-z'
'-x,y,-z'
'x,-y,z'
'x+1/2,y+1/2,z'
'-x+1/2,-y+1/2,-z'
'-x+1/2,y+1/2,-z'
'x+1/2,-y+1/2,z'
loop_
_atom_site_label
_atom_site_type_symbol
_atom_site_fract_x
_atom_site_fract_y
_atom_site_fract_z
Mg1 Mg 0.226 0.000 0.272
Pd1 Pd 0.000 0.500 0.000
Pd2 Pd 0.067 0.000 0.774
Pd3 Pd 0.213 0.329 0.230
Pb1 Pb 0.000 0.287 0.500
```

=====

No. 13
Computed, not measured: CaRh4 after structural relaxation at the GGA-PBE level of DFT.

Calculated values
The energy above the most stable polymorph in this dataset is 0 meV per atom. As for the energy of formation: -0.01 eV/atom. The calculation puts the calculated total energy at -6.29 eV/atom.

```
data_CaRh4
_cell_length_a 6.369
_cell_length_b 6.369
_cell_length_c 3.963
_cell_angle_alpha 90.00
_cell_angle_beta 90.00
_cell_angle_gamma 90.00
_symmetry_space_group_name_H-M 'I 4/m'
_symmetry_Int_Tables_number 87
_symmetry_space_group_name_Hall '-I 4'
loop_
_atom_site_label
_atom_site_type_symbol
_atom_site_fract_x
_atom_site_fract_y
_atom_site_fract_z
Ca1 Ca 0.000 0.000 0.000
Rh1 Rh 0.096 0.316 0.500
```

=====

No. 14
Computed, not measured: Li2MnCrH6 after structural relaxation at the GGA-PBE level of DFT.

Calculated values
The calculation puts the calculated total energy at -4.37 eV/atom.

```
data_Li2MnCrH6
_cell_length_a 4.749
_cell_length_b 4.804
_cell_length_c 8.282
_cell_angle_alpha 90.00
_cell_angle_beta 124.93
_cell_angle_gamma 90.00
_symmetry_space_group_name_H-M 'P 1 21/c 1'
_symmetry_Int_Tables_number 14
loop_
_symmetry_equiv_pos_as_xyz
'x,y,z'
'-x,-y,-z'
'-x,y+1/2,-z+1/2'
'x,-y+1/2,z+1/2'
loop_
_atom_site_label
_atom_site_type_symbol
_atom_site_fract_x
_atom_site_fract_y
_atom_site_fract_z
Li1 Li 0.245 0.023 0.250
Mn1 Mn 0.000 0.000 0.500
Cr1 Cr 0.500 0.000 0.000
H1 H 0.157 0.210 0.951
H2 H 0.243 0.708 0.951
H3 H 0.340 0.035 0.750
```

=====

No. 15
Computed, not measured: Cs4DyHo3Se8 after structural relaxation at the GGA-PBE level of DFT.

Calculated values
The uncorrected formation energy is -1725 meV/atom. The calculation puts the calculated total energy at -4.83 eV/atom.

```
data_Cs4DyHo3Se8
_cell_length_a 8.5091
_cell_length_b 8.5091
_cell_length_c 25.1171
_cell_angle_alpha 90.00
_cell_angle_beta 90.00
_cell_angle_gamma 120.00
_symmetry_space_group_name_H-M 'R -3 m'
_symmetry_Int_Tables_number 166
_symmetry_space_group_name_Hall '-R 3 2"'
loop_
_atom_site_label
_atom_site_type_symbol
_atom_site_fract_x
_atom_site_fract_y
_atom_site_fract_z
Cs1 Cs 0.0000 0.0000 0.0000
Cs2 Cs 0.0000 0.5000 0.0000
Dy1 Dy 0.0000 0.0000 0.5000
Ho1 Ho 0.0000 0.5000 0.5000
Se1 Se 0.0000 0.0000 0.2282
Se2 Se 0.0010 0.5005 0.7717
```

=====

No. 16
Computed, not measured: PaHg2TeO6 after structural relaxation at the GGA-PBE level of DFT.

Calculated values
The uncorrected formation energy is -1483 meV/atom. The calculation puts the calculated total energy at -5.78 eV/atom.

```
data_PaHg2TeO6
_cell_length_a 5.9466
_cell_length_b 5.9466
_cell_length_c 15.4691
_cell_angle_alpha 90.00
_cell_angle_beta 90.00
_cell_angle_gamma 120.00
_symmetry_space_group_name_H-M 'R 3'
_symmetry_Int_Tables_number 146
_symmetry_space_group_name_Hall 'R 3'
loop_
_atom_site_label
_atom_site_type_symbol
_atom_site_fract_x
_atom_site_fract_y
_atom_site_fract_z
Pa1 Pa 0.0000 0.0000 0.0000
Hg1 Hg 0.0000 0.0000 0.2487
Hg2 Hg 0.0000 0.0000 0.7517
Te1 Te 0.0000 0.0000 0.5082
O1 O 0.0151 0.4463 0.2459
O2 O 0.0275 0.7224 0.0805
```

=====

No. 17
Computed, not measured: EuGdHoHg after structural relaxation at the GGA-PBE level of DFT.

Calculated values
As for the energy of formation: -0.05 eV/atom. The calculation puts the calculated total energy at -7.36 eV/atom.

```
data_EuGdHoHg
_cell_length_a 7.730
_cell_length_b 7.730
_cell_length_c 7.730
_cell_angle_alpha 90.00
_cell_angle_beta 90.00
_cell_angle_gamma 90.00
_symmetry_space_group_name_H-M 'F -4 3 m'
_symmetry_Int_Tables_number 216
_symmetry_space_group_name_Hall 'F -4 2 3'
loop_
_atom_site_label
_atom_site_type_symbol
_atom_site_fract_x
_atom_site_fract_y
_atom_site_fract_z
Eu1 Eu 0.000 0.000 0.000
Gd1 Gd 0.250 0.250 0.750
Ho1 Ho 0.250 0.250 0.250
Hg1 Hg 0.000 0.000 0.500
```